Record 1
A geometry-optimized Ca2CdH2 structure. Source: Alexandria, functional PBE.

Lattice parameters (Å, degrees): 3.831 3.831 7.078 74.30 74.30 90.00
Atoms (fractional coordinates):
Ca  0.656  0.656  0.688
Ca  0.344  0.344  0.312
H  0.750  0.250  0.500
H  0.250  0.750  0.500
Cd  0.000  0.000  0.000

Summary:
**Space-group type**: I4/mmm
**Calculated total energy**: -2.7792 eV/atom
**DOS at the Fermi energy**: 0.353 states/eV/atom

=====

Record 2
A geometry-optimized La6CoPd2I3 structure. Source: Alexandria, functional PBE.

Lattice parameters (Å, degrees): 7.406 7.406 8.594 98.26 98.26 119.99
Atoms (fractional coordinates):
La  0.376  0.062  0.186
La  0.938  0.624  0.814
La  0.748  0.748  0.187
La  0.624  0.938  0.814
La  0.252  0.252  0.813
La  0.062  0.376  0.186
I  0.167  0.833  0.500
I  0.833  0.167  0.500
I  0.500  0.500  0.500
Pd  0.667  0.333  0.000
Pd  0.333  0.667  0.000
Co  0.000  0.000  0.000

Summary:
**Space-group type**: C2/m
**Calculated total energy**: -5.1911 eV/atom
**DOS at the Fermi energy**: 0.735 states/eV/atom

=====

Record 3
A geometry-optimized TeIr2Br structure. Source: Alexandria, functional PBE.

Lattice parameters (Å, degrees): 7.775 7.775 7.775 29.52 29.52 29.52
Each line ends with the local moment (μB).
Atoms (fractional coordinates):
Ir  0.979  0.979  0.979  0.44
Ir  0.267  0.267  0.267  0.25
Br  0.716  0.716  0.716  0.03
Te  0.537  0.537  0.537  0.02

Summary:
**Space-group type**: R3m
**Calculated total energy**: -5.4156 eV/atom
**DOS at the Fermi energy**: 1.264 states/eV/atom

=====

Record 4
A geometry-optimized Pu2ScTe3 structure. Source: Alexandria, functional PBE.

Lattice parameters (Å, degrees): 4.326 6.180 7.527 114.24 106.70 90.00
Each line ends with the local moment (μB).
Atoms (fractional coordinates):
Sc  0.000  0.500  0.000  0.20
Te  0.000  0.000  0.000  -0.07
Te  0.344  0.344  0.687  -0.06
Te  0.656  0.656  0.313  -0.06
Pu  0.670  0.170  0.341  5.54
Pu  0.330  0.830  0.659  5.54

Summary:
**Space-group type**: Immm
**Calculated total energy**: -8.4892 eV/atom
**DOS at the Fermi energy**: 3.747 states/eV/atom

=====

Record 5
A geometry-optimized YCoIr2 structure. Source: Alexandria, functional PBE.

Lattice parameters (Å, degrees): 4.731 4.731 3.027 90.00 90.00 105.36
Each line ends with the local moment (μB).
Atoms (fractional coordinates):
Y  0.500  0.000  0.500  -0.03
Co  0.000  0.500  0.500  1.50
Ir  0.500  0.500  0.000  0.11
Ir  0.000  0.000  0.000  0.11

Summary:
**Space-group type**: Cmmm
**Energy relative to the elements**: -0.043 eV/atom
**Calculated total energy**: -7.8663 eV/atom
**DOS at the Fermi energy**: 1.292 states/eV/atom

=====

Record 6
A geometry-optimized NpTcPdO6 structure. Source: Alexandria, functional PBE.

Lattice parameters (Å, degrees): 5.326 5.326 9.269 90.00 90.00 120.00
Each line ends with the local moment (μB).
Atoms (fractional coordinates):
Pd  0.000  0.000  0.500  -0.56
Pd  0.000  0.000  0.000  -0.56
O  0.355  0.342  0.367  0.03
O  0.342  0.988  0.633  0.03
O  0.658  0.012  0.367  0.03
O  0.988  0.342  0.133  0.03
O  0.355  0.012  0.133  0.03
O  0.645  0.988  0.867  0.03
O  0.988  0.645  0.367  0.03
O  0.645  0.658  0.633  0.03
O  0.012  0.355  0.633  0.03
O  0.012  0.658  0.867  0.03
O  0.342  0.355  0.867  0.03
O  0.658  0.645  0.133  0.03
Tc  0.333  0.667  0.750  1.28
Tc  0.667  0.333  0.250  1.28
Np  0.333  0.667  0.250  -0.99
Np  0.667  0.333  0.750  -0.99

Summary:
**Space-group type**: P-31c
**Calculated total energy**: -8.1480 eV/atom
**DOS at the Fermi energy**: 0.458 states/eV/atom

=====

Record 7
A geometry-optimized Ho2FeCo structure. Source: Alexandria, functional PBE.

Lattice parameters (Å, degrees): 3.857 3.857 7.244 74.51 74.56 60.00
Each line ends with the local moment (μB).
Atoms (fractional coordinates):
Ho  0.893  0.656  0.558  -0.16
Ho  0.712  0.475  0.100  -0.13
Fe  0.472  0.235  0.821  1.46
Co  0.133  0.896  0.838  0.66

Summary:
**Space-group type**: R3m
**Energy relative to the elements**: -0.140 eV/atom
**Calculated total energy**: -6.3210 eV/atom
**DOS at the Fermi energy**: 0.706 states/eV/atom

=====

Record 8
A geometry-optimized Pm2Ga6Ni structure. Source: Alexandria, functional PBE.

Lattice parameters (Å, degrees): 6.227 6.227 6.227 60.00 60.00 60.00
Atoms (fractional coordinates):
Ga  0.278  0.278  0.722
Ga  0.722  0.278  0.278
Ga  0.278  0.722  0.278
Ga  0.278  0.722  0.722
Ga  0.722  0.278  0.722
Ga  0.722  0.722  0.278
Ni  0.000  0.000  0.000
Pm  0.750  0.750  0.750
Pm  0.250  0.250  0.250

Summary:
**Space-group type**: Fm-3m
**Energy relative to the elements**: -0.589 eV/atom
**Calculated total energy**: -4.3053 eV/atom
**DOS at the Fermi energy**: 0.344 states/eV/atom